# 1
The following is a DFT calculation (PBE-GGA) of crystalline YTc2HgO8 at its relaxed geometry.

Calculated values
- DFT total energy (Ha/atom) = -0.2683
- energy relative to the elements, uncorrected (eV per atom) = -1.705

Cell: 6.187 6.187 8.242 Å, 90.00 90.00 120.00°
Positions (direct):
Y 0.000 0.000 0.000
Tc 0.333 0.667 0.222
Tc 0.667 0.333 0.778
Hg 0.000 0.000 0.500
O 0.177 0.355 0.148
O 0.177 0.823 0.148
O 0.333 0.667 0.430
O 0.355 0.177 0.852
O 0.645 0.823 0.148
O 0.667 0.333 0.570
O 0.823 0.177 0.852
O 0.823 0.645 0.852


# 2
The following is a DFT calculation (PBE-GGA) of crystalline HgTeO2 at its relaxed geometry.

Calculated values
- DFT total energy (Ha/atom) = -0.1439
- energy relative to the elements, uncorrected (eV per atom) = -0.576
- E above lowest polymorph (eV/atom) = 0.000

Cell: 5.721 7.992 8.682 Å, 90.00 113.89 90.00°
Positions (direct):
Hg 0.199 0.032 0.435
Hg 0.199 0.468 0.935
Hg 0.801 0.532 0.065
Hg 0.801 0.968 0.565
Te 0.476 0.145 0.115
Te 0.476 0.355 0.615
Te 0.524 0.645 0.385
Te 0.524 0.855 0.885
O 0.200 0.735 0.307
O 0.200 0.765 0.807
O 0.415 0.102 0.876
O 0.415 0.398 0.376
O 0.585 0.602 0.624
O 0.585 0.898 0.124
O 0.800 0.235 0.193
O 0.800 0.265 0.693


# 3
The following is a DFT calculation (PBE-GGA) of crystalline HgTeO4 at its relaxed geometry.

Calculated values
- DFT total energy (Ha/atom) = -0.1677
- energy relative to the elements, uncorrected (eV per atom) = -0.685

Cell: 6.720 6.720 5.412 Å, 93.28 93.28 45.88°
Positions (direct):
Hg 0.223 0.777 0.750
Hg 0.777 0.223 0.250
Te 0.000 0.500 0.000
Te 0.500 0.000 0.500
O 0.096 0.712 0.050
O 0.208 0.346 0.693
O 0.288 0.904 0.450
O 0.346 0.208 0.193
O 0.654 0.792 0.807
O 0.712 0.096 0.550
O 0.792 0.654 0.307
O 0.904 0.288 0.950


# 4
The following is a DFT calculation (PBE-GGA) of crystalline HgTeO2 at its relaxed geometry.

Calculated values
- DFT total energy (Ha/atom) = -0.1382
- energy relative to the elements, uncorrected (eV per atom) = -0.420
- E above lowest polymorph (eV/atom) = 0.156

Cell: 8.138 8.138 8.138 Å, 24.20 24.20 24.20°
Positions (direct):
Hg 0.000 0.000 0.000
Te 0.500 0.500 0.500
O 0.122 0.122 0.122
O 0.878 0.878 0.878